Record 1
# GGA-PBE ZrCdAs2Br, relaxed
# DOS at the Fermi energy = 4.54 states/eV/f.u.
# Total magnetic moment = 0.16 μB per atom
# Formation energy from raw total energies = 0.673 eV/atom
# Energy above the most stable polymorph in this dataset = 72.6 kJ per mole of atoms
data_ZrCdAs2Br
_chemical_formula_sum 'Zr1 Cd1 As2 Br1'
_cell_length_a 5.061
_cell_length_b 5.061
_cell_length_c 5.325
_cell_angle_alpha 90.00
_cell_angle_beta 90.00
_cell_angle_gamma 90.00
_symmetry_space_group_name_H-M 'P 4/m m m'
_symmetry_Int_Tables_number 123
_symmetry_space_group_name_Hall '-P 4 2'
loop_
_atom_site_label
_atom_site_fract_x
_atom_site_fract_y
_atom_site_fract_z
_atom_site_occupancy
Zr1 0.000 0.000 0.000 1
Cd1 0.500 0.500 0.500 1
As1 0.000 0.500 0.500 1
Br1 0.500 0.500 0.000 1

***

Record 2
# GGA-PBE HoTmIn2, relaxed
# DOS at the Fermi energy = 2.23 states/eV/f.u.
# Total magnetic moment = 0.00 μB per atom
# E_form = -1.3 eV/f.u.
data_HoTmIn2
_chemical_formula_sum 'Ho3 Tm3 In6'
_cell_length_a 3.6494
_cell_length_b 3.6494
_cell_length_c 29.0205
_cell_angle_alpha 90.00
_cell_angle_beta 90.00
_cell_angle_gamma 120.00
_symmetry_space_group_name_H-M 'R -3 m'
_symmetry_Int_Tables_number 166
_symmetry_space_group_name_Hall '-R 3 2"'
loop_
_atom_site_label
_atom_site_fract_x
_atom_site_fract_y
_atom_site_fract_z
_atom_site_occupancy
Ho1 0.0000 0.0000 0.0000 1
Tm1 0.0000 0.0000 0.5000 1
In1 0.0000 0.0000 0.2495 1